Density functional theory data (SCAN) for Cd3GaCl at its PBEsol-relaxed geometry.

Results
* E: -22.612 eV/atom
* SG: Pm-3m, No. 221
* raw formation energy: 48.4 kJ/mol of atoms

Cell: 5.327 5.327 5.327 Å, 90.00 90.00 90.00°
Atoms (fractional coordinates):
Cd 0.000 0.000 0.500
Cd 0.000 0.500 0.000
Cd 0.500 0.000 0.000
Ga 0.500 0.500 0.500
Cl 0.000 0.000 0.000